one) The following is a GGA-PBE calculation of a geometry-optimized AlSi4 structure, from Alexandria via LeMat-Bulk.

Lattice parameters (Å, degrees): 4.699 4.699 4.699 90.00 90.00 90.00
Fractional positions:
Al1 0.500 0.500 0.500
Si1 0.000 0.500 0.500
Si2 0.000 0.000 0.000
Si3 0.500 0.000 0.500
Si4 0.500 0.500 0.000

Computed properties:
V = 103.8 Å³/cell


two) The following is a GGA-PBE calculation of a geometry-optimized AlSi4 structure, from Alexandria via LeMat-Bulk.

Lattice parameters (Å, degrees): 5.274 5.274 5.274 128.85 128.85 75.26
Fractional positions:
Si1 0.639 0.639 0.000
Si2 0.361 0.361 0.000
Si3 0.750 0.250 0.500
Si4 0.250 0.750 0.500
Al1 0.000 0.000 0.000

Computed properties:
V = 86.6 Å³/cell


three) The following is a GGA-PBE calculation of a geometry-optimized AlSi4 structure, from Alexandria via LeMat-Bulk.

Lattice parameters (Å, degrees): 5.102 5.102 5.102 95.79 95.79 142.95
Fractional positions:
Si1 0.371 0.164 0.535
Si2 0.629 0.836 0.465
Si3 0.164 0.629 0.793
Si4 0.836 0.371 0.207
Al1 0.000 0.000 0.000

Computed properties:
V = 75.9 Å³/cell


four) The following is a GGA-PBE calculation of a geometry-optimized AlSi4 structure, from Alexandria via LeMat-Bulk.

Lattice parameters (Å, degrees): 4.863 4.863 4.863 109.47 109.47 109.47
Fractional positions:
Si1 0.500 0.500 0.500
Si2 0.000 0.000 0.500
Al1 0.000 0.000 0.000
Si3 0.000 0.500 0.000
Si4 0.500 0.000 0.000

Computed properties:
V = 88.6 Å³/cell


Relative calculated energies, zero for the most stable structure, unit meV per atom: one) 778; two) 0; three) 16; four) 206.


one) The following is a GGA-PBE calculation of a geometry-optimized Al2SiSn2 structure, from Alexandria via LeMat-Bulk.

Lattice parameters (Å, degrees): 6.626 6.626 4.993 90.00 90.00 90.00
Fractional positions:
Sn1 0.682 0.818 0.500
Si1 0.000 0.000 0.000
Sn2 0.182 0.682 0.500
Al1 0.141 0.359 0.000
Al2 0.641 0.141 0.000
Al3 0.859 0.641 0.000
Al4 0.359 0.859 0.000
Sn3 0.818 0.318 0.500
Sn4 0.318 0.182 0.500
Si2 0.500 0.500 0.000

Computed properties:
V = 219.2 Å³/cell


two) The following is a GGA-PBE calculation of a geometry-optimized Al2SiSn2 structure, from Alexandria via LeMat-Bulk.

Lattice parameters (Å, degrees): 8.201 8.201 3.313 90.00 90.00 90.00
Fractional positions:
Al1 0.621 0.879 0.500
Si1 0.500 0.500 0.000
Al2 0.879 0.379 0.500
Sn1 0.323 0.823 0.000
Sn2 0.823 0.677 0.000
Al3 0.121 0.621 0.500
Si2 0.000 0.000 0.000
Al4 0.379 0.121 0.500
Sn3 0.177 0.323 0.000
Sn4 0.677 0.177 0.000

Computed properties:
V = 222.8 Å³/cell


Relative calculated energies, zero for the most stable structure, unit meV per atom: one) 0; two) 161.


one) The following is a GGA-PBE calculation of a geometry-optimized Al3SiSn structure, from Alexandria via LeMat-Bulk.

Lattice parameters (Å, degrees): 5.186 5.186 5.186 90.00 90.00 90.00
Fractional positions:
Si1 0.500 0.500 0.500
Al1 0.500 0.000 0.000
Al2 0.000 0.000 0.500
Al3 0.000 0.500 0.000
Sn1 0.000 0.000 0.000

Computed properties:
V = 139.4 Å³/cell


two) The following is a GGA-PBE calculation of a geometry-optimized Al3SiSn structure, from Alexandria via LeMat-Bulk.

Lattice parameters (Å, degrees): 4.818 4.818 4.818 90.00 90.00 90.00
Fractional positions:
Al1 0.000 0.000 0.500
Sn1 0.500 0.500 0.500
Al2 0.500 0.000 0.000
Si1 0.000 0.000 0.000
Al3 0.000 0.500 0.000

Computed properties:
V = 111.8 Å³/cell


Relative calculated energies, zero for the most stable structure, unit meV per atom: one) 693; two) 0.


one) The following is a GGA-PBE calculation of a geometry-optimized Al2SiSn structure, from Alexandria via LeMat-Bulk.

Lattice parameters (Å, degrees): 3.837 3.837 6.916 73.89 73.89 60.00
Fractional positions:
Al1 0.269 0.269 0.193
Sn1 0.500 0.500 0.500
Si1 0.000 0.000 0.000
Al2 0.731 0.731 0.807

Computed properties:
V = 83.5 Å³/cell


two) The following is a GGA-PBE calculation of a geometry-optimized Al2SiSn structure, from Alexandria via LeMat-Bulk.

Lattice parameters (Å, degrees): 6.228 6.228 7.056 63.81 63.81 90.00
Fractional positions:
Sn1 0.750 0.250 0.500
Si1 0.250 0.750 0.500
Si2 0.500 0.500 0.000
Al1 0.875 0.833 0.750
Al2 0.583 0.125 0.250
Al3 0.167 0.625 0.250
Al4 0.375 0.417 0.750
Sn2 0.000 0.000 0.000

Computed properties:
V = 213.9 Å³/cell


three) The following is a GGA-PBE calculation of a geometry-optimized Al2SiSn structure, from Alexandria via LeMat-Bulk.

Lattice parameters (Å, degrees): 3.919 3.919 6.798 73.25 73.25 60.00
Fractional positions:
Al1 0.064 0.064 0.809
Sn1 0.502 0.502 0.495
Si1 0.665 0.665 0.004
Al2 0.269 0.269 0.192

Computed properties:
V = 85.3 Å³/cell


Relative calculated energies, zero for the most stable structure, unit meV per atom: one) 0; two) 158; three) 31.


one) The following is a GGA-PBE calculation of a geometry-optimized AlSiTc2 structure, from Alexandria via LeMat-Bulk.

Lattice parameters (Å, degrees): 5.155 5.155 5.155 145.39 133.77 59.01
Fractional positions:
Si1 0.231 0.731 0.500
Tc1 0.759 0.259 0.500
Al1 0.505 0.505 0.000
Tc2 0.005 0.005 0.000

Computed properties:
V = 55.7 Å³/cell


two) The following is a GGA-PBE calculation of a geometry-optimized AlSiTc2 structure, from Alexandria via LeMat-Bulk.

Lattice parameters (Å, degrees): 3.466 2.932 5.949 70.50 90.00 90.00
Fractional positions:
Al1 0.500 0.250 0.250
Tc1 0.000 0.608 0.515
Si1 0.500 0.750 0.750
Tc2 0.000 0.892 0.985

Computed properties:
V = 57.0 Å³/cell


three) The following is a GGA-PBE calculation of a geometry-optimized AlSiTc2 structure, from Alexandria via LeMat-Bulk.

Lattice parameters (Å, degrees): 4.857 4.857 4.857 135.31 135.31 65.05
Fractional positions:
Tc1 0.250 0.750 0.500
Tc2 0.000 0.000 0.000
Si1 0.750 0.250 0.500
Al1 0.500 0.500 0.000

Computed properties:
V = 55.9 Å³/cell


Relative calculated energies, zero for the most stable structure, unit meV per atom: one) 0; two) 45; three) 155.


one) The following is a GGA-PBE calculation of a geometry-optimized AlSiTc2 structure, from Alexandria via LeMat-Bulk.

Lattice parameters (Å, degrees): 6.105 6.105 6.105 48.40 153.68 140.14
Fractional positions:
Si1 0.000 0.500 0.500
Al1 0.000 0.000 0.000
Tc1 0.000 0.292 0.292
Tc2 0.000 0.708 0.708

Computed properties:
V = 64.4 Å³/cell


two) The following is a GGA-PBE calculation of a geometry-optimized AlSiTc2 structure, from Alexandria via LeMat-Bulk.

Lattice parameters (Å, degrees): 4.294 4.294 4.294 60.00 60.00 60.00
Fractional positions:
Tc1 0.250 0.250 0.250
Tc2 0.000 0.000 0.000
Al1 0.500 0.500 0.500
Si1 0.750 0.750 0.750

Computed properties:
V = 56.0 Å³/cell


Relative calculated energies, zero for the most stable structure, unit meV per atom: one) 476; two) 0.